# Th3Cu4Au2, relaxed, DFT PBE-GGA
# - E_form: -395 meV per atom
# - Theoretical density: 11.92 g/cm³
# - Final energy: -5.42 eV/atom
data_Th3Cu4Au2
_space_group_name_H-M_alt 'C 1 2/m 1'
_space_group_IT_number 12
_cell_length_a 10.595
_cell_length_b 4.513
_cell_length_c 8.617
_cell_angle_alpha 90.00
_cell_angle_beta 114.65
_cell_angle_gamma 90.00
loop_
_space_group_symop_operation_xyz
'x,y,z'
'-x,-y,-z'
'-x,y,-z'
'x,-y,z'
'x+1/2,y+1/2,z'
'-x+1/2,-y+1/2,-z'
'-x+1/2,y+1/2,-z'
'x+1/2,-y+1/2,z'
loop_
_atom_site_label
_atom_site_fract_x
_atom_site_fract_y
_atom_site_fract_z
Th1 0.000 0.000 0.000
Th2 0.162 0.500 0.672
Cu1 0.056 0.000 0.398
Cu2 0.230 0.500 0.051
Au1 0.118 0.500 0.280